Record 1
First-principles (PBE) data for an optimized crystal structure of La16Nd6Er7, as listed in the Alexandria database.

Summary:
Energy of formation from the pure elements = 0.18 eV/atom
D(E_F) = 2.0018 states/eV/atom
Space-group type = No. 225
ρ = 6.78 g cm⁻³

Cell: 11.383 11.383 11.383 Å, 60.00 60.00 60.00°
Site moments in Bohr magnetons follow the coordinates.
Fractional coordinates of all 29 atoms:
La1 0.655 0.655 0.036  -0.03
La2 0.345 0.345 0.964  -0.03
La3 0.655 0.655 0.655  -0.03
La4 0.879 0.362 0.879  -0.01
La5 0.879 0.879 0.879  -0.01
La6 0.964 0.345 0.345  -0.03
Er1 0.000 0.000 0.500  -0.01
Er2 0.500 0.500 0.000  -0.01
La7 0.655 0.036 0.655  -0.03
La8 0.362 0.879 0.879  -0.01
La9 0.638 0.121 0.121  -0.01
Er3 0.000 0.000 0.000  -0.03
Nd1 0.701 0.701 0.299  -0.05
Er4 0.500 0.000 0.000  -0.01
La10 0.121 0.121 0.121  -0.01
La11 0.879 0.879 0.362  -0.01
Er5 0.500 0.000 0.500  -0.01
Nd2 0.299 0.701 0.701  -0.05
La12 0.345 0.964 0.345  -0.03
La13 0.121 0.121 0.638  -0.01
La14 0.036 0.655 0.655  -0.03
Nd3 0.701 0.299 0.701  -0.05
Nd4 0.299 0.299 0.701  -0.05
Nd5 0.701 0.299 0.299  -0.05
Er6 0.000 0.500 0.000  -0.01
Er7 0.000 0.500 0.500  -0.01
La15 0.121 0.638 0.121  -0.01
Nd6 0.299 0.701 0.299  -0.05
La16 0.345 0.345 0.345  -0.03



Record 2
First-principles (PBE) data for an optimized crystal structure of TbPrAl, as listed in the Alexandria database.

Summary:
Energy of formation from the pure elements = 0.07 eV/atom
Offset from the most stable computed form = 0.87 eV/f.u.
D(E_F) = 1.1461 states/eV/atom
Space-group type = No. 8
ρ = 6.21 g cm⁻³

Cell: 6.037 6.037 5.124 Å, 75.10 116.17 147.56°
Fractional coordinates of all 3 atoms:
Al1 0.409 0.429 0.838
Tb1 0.935 0.229 0.164
Pr1 0.371 0.066 0.437



> What is the energy of formation from the pure elements in the first record?

0.18 eV/atom



> What is the ρ in the second record?

6.21 g cm⁻³



Repeat the first record exactly.
First-principles (PBE) data for an optimized crystal structure of La16Nd6Er7, as listed in the Alexandria database.

Summary:
Energy of formation from the pure elements = 0.18 eV/atom
D(E_F) = 2.0018 states/eV/atom
Space-group type = No. 225
ρ = 6.78 g cm⁻³

Cell: 11.383 11.383 11.383 Å, 60.00 60.00 60.00°
Site moments in Bohr magnetons follow the coordinates.
Fractional coordinates of all 29 atoms:
La1 0.655 0.655 0.036  -0.03
La2 0.345 0.345 0.964  -0.03
La3 0.655 0.655 0.655  -0.03
La4 0.879 0.362 0.879  -0.01
La5 0.879 0.879 0.879  -0.01
La6 0.964 0.345 0.345  -0.03
Er1 0.000 0.000 0.500  -0.01
Er2 0.500 0.500 0.000  -0.01
La7 0.655 0.036 0.655  -0.03
La8 0.362 0.879 0.879  -0.01
La9 0.638 0.121 0.121  -0.01
Er3 0.000 0.000 0.000  -0.03
Nd1 0.701 0.701 0.299  -0.05
Er4 0.500 0.000 0.000  -0.01
La10 0.121 0.121 0.121  -0.01
La11 0.879 0.879 0.362  -0.01
Er5 0.500 0.000 0.500  -0.01
Nd2 0.299 0.701 0.701  -0.05
La12 0.345 0.964 0.345  -0.03
La13 0.121 0.121 0.638  -0.01
La14 0.036 0.655 0.655  -0.03
Nd3 0.701 0.299 0.701  -0.05
Nd4 0.299 0.299 0.701  -0.05
Nd5 0.701 0.299 0.299  -0.05
Er6 0.000 0.500 0.000  -0.01
Er7 0.000 0.500 0.500  -0.01
La15 0.121 0.638 0.121  -0.01
Nd6 0.299 0.701 0.299  -0.05
La16 0.345 0.345 0.345  -0.03